i:
A geometry-optimized SmBIr structure. Source: the Alexandria database, functional PBE.

Results
Its space-group type is No. 129. The calculation puts the density of states at the Fermi level at 2.9 states/eV per cell. The value obtained for the size of the total moment is 0.0 μB per formula unit.

Cell: 3.869 3.870 7.387 Å, 90.00 90.00 90.00°
Fractional positions:
Sm  0.500  0.000  0.683
Sm  0.000  0.500  0.317
B  0.500  0.000  0.141
B  0.000  0.500  0.859
Ir  0.000  0.000  0.000
Ir  0.500  0.500  0.000



ii:
A geometry-optimized SmBIr structure. Source: the Alexandria database, functional PBE.

Results
Its space-group type is No. 187. The calculation puts the density of states at the Fermi level at 2.5 states/eV per cell. The value obtained for the size of the total moment is 0.0 μB per formula unit.

Cell: 4.429 3.691 3.691 Å, 120.00 90.00 90.00°
Fractional positions:
B  0.166  0.667  0.333
Ir  0.167  0.000  0.000
Sm  0.667  0.333  0.667



Which one is most stable, and which one is least stable? ii is the most stable of them, while i is the least stable.



i:
A geometry-optimized SmB3Ir3 structure. Source: the Alexandria database, functional PBE.

Results
Its space-group type is No. 148. The calculation puts the density of states at the Fermi level at 7.1 states/eV per cell. The value obtained for the size of the total moment is 0.0 μB per formula unit.

Cell: 6.178 6.178 7.548 Å, 65.84 65.84 60.00°
Fractional positions:
Sm  0.333  0.333  0.002
Sm  0.667  0.667  0.998
B  0.241  0.547  0.307
B  0.905  0.241  0.307
B  0.547  0.905  0.307
B  0.453  0.095  0.693
B  0.095  0.759  0.693
B  0.759  0.453  0.693
Ir  0.433  0.795  0.649
Ir  0.795  0.124  0.649
Ir  0.124  0.433  0.649
Ir  0.876  0.567  0.351
Ir  0.205  0.876  0.351
Ir  0.567  0.205  0.351



ii:
A geometry-optimized SmB3Ir3 structure. Source: the Alexandria database, functional PBE.

Results
Its space-group type is No. 1. The calculation puts the density of states at the Fermi level at 12.2 states/eV per cell. The value obtained for the size of the total moment is 0.0 μB per formula unit.

Cell: 7.724 7.727 7.727 Å, 71.22 108.75 108.74°
Fractional positions:
Sm  0.019  0.578  0.922
Sm  0.049  0.952  0.451
Sm  0.423  0.422  0.481
Sm  0.578  0.980  0.078
B  0.660  0.726  0.934
B  0.972  0.176  0.096
B  0.825  0.597  0.528
B  0.061  0.506  0.302
B  0.404  0.028  0.676
B  0.198  0.939  0.006
B  0.040  0.245  0.837
B  0.274  0.434  0.840
B  0.566  0.340  0.226
B  0.663  0.960  0.745
B  0.755  0.336  0.460
B  0.494  0.801  0.439
Ir  0.859  0.280  0.235
Ir  0.913  0.960  0.955
Ir  0.808  0.613  0.244
Ir  0.238  0.762  0.262
Ir  0.256  0.192  0.113
Ir  0.387  0.744  0.692
Ir  0.039  0.455  0.587
Ir  0.265  0.141  0.780
Ir  0.571  0.429  0.929
Ir  0.720  0.736  0.640
Ir  0.545  0.087  0.460
Ir  0.418  0.582  0.082



iii:
A geometry-optimized SmB3Ir3 structure. Source: the Alexandria database, functional PBE.

Results
Its space-group type is No. 223. The calculation puts the density of states at the Fermi level at 3.4 states/eV per cell. The value obtained for the size of the total moment is 0.0 μB per formula unit.

Cell: 5.900 5.900 5.900 Å, 90.00 90.00 90.00°
Fractional positions:
B  0.250  0.000  0.500
B  0.000  0.500  0.250
B  0.500  0.750  0.000
B  0.750  0.000  0.500
B  0.000  0.500  0.750
B  0.500  0.250  0.000
Ir  0.000  0.250  0.500
Ir  0.000  0.750  0.500
Ir  0.500  0.000  0.750
Ir  0.750  0.500  0.000
Ir  0.500  0.000  0.250
Ir  0.250  0.500  0.000
Sm  0.500  0.500  0.500
Sm  0.000  0.000  0.000



Which one is most stable, and which one is least stable? iii is the most stable of them, while i is the least stable.